(1)
Material: HoTcP2Rh
Method: DFT, PBE
State: relaxed

Summary:
E_form in eV/atom: -1.024

Cell lengths 4.068, 4.068, 9.615 Å; angles 90.00, 90.00, 90.00 degrees
Space group I-4m2 (No. 119)
Symmetry-distinct sites (fractional):
Ho1 0.000 0.000 0.000 [2 per cell]
Tc1 0.000 0.500 0.250 [2 per cell]
P1 0.000 0.000 0.377 [4 per cell]
Rh1 0.000 0.500 0.750 [2 per cell]

(2)
Material: Pm2Al4Ga3Pd
Method: DFT, PBE
State: relaxed

Summary:
E_form in eV/atom: -0.567

Cell lengths 4.234, 4.234, 10.875 Å; angles 90.00, 90.00, 90.00 degrees
Space group P-4m2 (No. 115)
Symmetry-distinct sites (fractional):
Pm1 0.000 0.500 0.250 [2 per cell]
Al1 0.000 0.000 0.000 [1 per cell]
Al2 0.000 0.500 0.628 [2 per cell]
Al3 0.500 0.500 0.000 [1 per cell]
Ga1 0.000 0.500 0.858 [2 per cell]
Ga2 0.500 0.500 0.500 [1 per cell]
Pd1 0.000 0.000 0.500 [1 per cell]